VASP calculation (GGA-PBE) on a relaxed Tb2PrInO crystal.

Calculated values
* ρ: 8.39 g cm⁻³
* formation energy without anion corrections: -1.41 eV/atom
* density of states at the Fermi level: 1.689 states/eV/f.u.

abc: 5.038 4.814 4.814
angles: 90.00 90.00 90.00
Element x y z (fractional)
In: 0.500 0.500 0.500
O: 0.000 0.000 0.000
Tb: 0.000 0.000 0.500
Tb: 0.000 0.500 0.000
Pr: 0.500 0.000 0.000

VASP calculation (GGA-PBE) on a relaxed ScAu4 crystal.

Calculated values
* ρ: 15.19 g cm⁻³
* formation energy from the elements: -0.548 eV per atom
* density of states at the Fermi level: 1.449 states/eV/f.u.

abc: 4.095 5.139 5.143
angles: 80.91 66.54 66.52
Element x y z (fractional)
Au: 0.602 0.194 0.602
Au: 0.797 0.601 0.805
Au: 0.398 0.806 0.398
Au: 0.203 0.399 0.195
Sc: 0.000 0.000 0.000

VASP calculation (GGA-PBE) on a relaxed Ce5DyP6 crystal.

Calculated values
* ρ: 6.06 g cm⁻³
* formation energy from the elements: -1.515 eV per atom
* density of states at the Fermi level: 21.607 states/eV/f.u.

abc: 7.060 7.062 7.062
angles: 60.00 80.40 70.52
Element x y z (fractional)
Ce: 0.500 0.167 0.666
Ce: 0.500 0.833 0.334
Ce: 0.000 0.333 0.333
Ce: 0.500 0.500 0.000
Ce: 0.000 0.667 0.667
P: 0.248 0.586 0.332
P: 0.752 0.414 0.668
P: 0.248 0.917 0.668
P: 0.752 0.083 0.332
P: 0.249 0.248 0.000
P: 0.751 0.752 0.000
Dy: 0.000 0.000 0.000